[1]
An optimized crystal structure of La2Cu15Ni2, computed with PBE.

Cell and atoms, written as POSCAR:
```
La2Cu15Ni2
1.0
4.329 2.499 4.177
-4.329 2.499 4.177
0.000 -4.998 4.177
La Cu Ni
2 15 2
direct
0.166 0.166 0.166 La
0.834 0.834 0.834 La
0.000 0.500 0.500 Cu
0.157 0.157 0.652 Cu
0.157 0.652 0.157 Cu
0.213 0.500 0.787 Cu
0.213 0.787 0.500 Cu
0.348 0.843 0.843 Cu
0.500 0.000 0.500 Cu
0.500 0.213 0.787 Cu
0.500 0.500 0.000 Cu
0.500 0.787 0.213 Cu
0.652 0.157 0.157 Cu
0.787 0.213 0.500 Cu
0.787 0.500 0.213 Cu
0.843 0.348 0.843 Cu
0.843 0.843 0.348 Cu
0.403 0.403 0.403 Ni
0.597 0.597 0.597 Ni
```

Results
**Calculated density**: 8.26 g cm⁻³
**Magnetic moment**: 0.0 μB per formula unit
**Formation enthalpy at 0 K**: -103 meV per atom
**DFT total energy**: -4.464 eV/atom
**Fermi-level density of states**: 0.519 states/eV per atom

---

[2]
An optimized crystal structure of LaCuNi4, computed with PBE.

Cell and atoms, written as POSCAR:
```
LaCuNi4
1.0
1.917 -7.470 0.000
1.917 7.470 0.000
0.000 0.000 6.143
La Cu Ni
2 2 8
direct
0.109 0.891 0.750 La
0.891 0.109 0.250 La
0.234 0.766 0.250 Cu
0.766 0.234 0.750 Cu
0.075 0.925 0.250 Ni
0.334 0.666 0.563 Ni
0.334 0.666 0.937 Ni
0.500 0.500 0.000 Ni
0.500 0.500 0.500 Ni
0.666 0.334 0.063 Ni
0.666 0.334 0.437 Ni
0.925 0.075 0.750 Ni
```

Results
**Calculated density**: 8.25 g cm⁻³
**Distance to the lowest polymorph of the same formula**: 0.2243 eV per atom
**Magnetic moment**: 0.0 μB per formula unit
**Formation enthalpy at 0 K**: -50 meV per atom
**DFT total energy**: -5.408 eV/atom
**Fermi-level density of states**: 0.979 states/eV per atom

---

[3]
An optimized crystal structure of LaCu2Ni6, computed with PBE.

Cell and atoms, written as POSCAR:
```
LaCu2Ni6
1.0
-2.009 3.128 5.270
2.009 -3.128 5.270
2.009 3.128 -5.270
La Cu Ni
1 2 6
direct
0.000 0.000 0.000 La
0.378 0.878 0.500 Cu
0.622 0.122 0.500 Cu
0.094 0.281 0.813 Ni
0.317 0.500 0.817 Ni
0.468 0.281 0.187 Ni
0.532 0.719 0.813 Ni
0.683 0.500 0.183 Ni
0.906 0.719 0.187 Ni
```

Results
**Calculated density**: 7.75 g cm⁻³
**Magnetic moment**: 1.9 μB per formula unit
**Formation enthalpy at 0 K**: 110 meV per atom
**DFT total energy**: -5.202 eV/atom
**Fermi-level density of states**: 1.280 states/eV per atom

---

[4]
An optimized crystal structure of La2CuNi, computed with PBE.

Cell and atoms, written as POSCAR:
```
La2CuNi
1.0
0.000 3.441 3.441
3.441 0.000 3.441
3.441 3.441 0.000
La Cu Ni
2 1 1
direct
0.000 0.000 0.000 La
0.250 0.250 0.250 La
0.500 0.500 0.500 Cu
0.750 0.750 0.750 Ni
```

Results
**Calculated density**: 8.15 g cm⁻³
**Magnetic moment**: 0.0 μB per formula unit
**Formation enthalpy at 0 K**: -66 meV per atom
**DFT total energy**: -4.999 eV/atom
**Fermi-level density of states**: 0.746 states/eV per atom

---

[5]
An optimized crystal structure of La2Cu3Ni2, computed with PBE.

Cell and atoms, written as POSCAR:
```
La2Cu3Ni2
1.0
4.921 -2.049 0.000
4.921 2.049 0.000
-3.088 0.000 6.251
La Cu Ni
2 3 2
direct
0.129 0.129 0.259 La
0.871 0.871 0.741 La
0.347 0.347 0.071 Cu
0.500 0.500 0.500 Cu
0.653 0.653 0.929 Cu
0.134 0.134 0.689 Ni
0.866 0.866 0.311 Ni
```

Results
**Calculated density**: 7.72 g cm⁻³
**Distance to the lowest polymorph of the same formula**: 0.0000 eV per atom
**Magnetic moment**: 0.0 μB per formula unit
**Formation enthalpy at 0 K**: -237 meV per atom
**DFT total energy**: -5.052 eV/atom
**Fermi-level density of states**: 0.457 states/eV per atom

---

[6]
An optimized crystal structure of La2Cu5Ni4, computed with PBE.

Cell and atoms, written as POSCAR:
```
La2Cu5Ni4
1.0
0.000 4.404 8.039
2.493 0.000 8.039
2.493 4.404 0.000
La Cu Ni
2 5 4
direct
0.136 0.136 0.864 La
0.864 0.864 0.136 La
0.000 0.000 0.500 Cu
0.250 0.250 0.250 Cu
0.500 0.500 0.000 Cu
0.500 0.500 0.500 Cu
0.750 0.750 0.750 Cu
0.209 0.539 0.461 Ni
0.461 0.791 0.209 Ni
0.539 0.209 0.791 Ni
0.791 0.461 0.539 Ni
```

Results
**Calculated density**: 7.81 g cm⁻³
**Magnetic moment**: 0.0 μB per formula unit
**Formation enthalpy at 0 K**: -175 meV per atom
**DFT total energy**: -5.036 eV/atom
**Fermi-level density of states**: 0.443 states/eV per atom